1.
TaAsW2 | SCAN | PBEsol geometry

Cell and atoms, written as CIF:
```
data_TaAsW2
_cell_length_a 3.1148
_cell_length_b 3.1148
_cell_length_c 23.7564
_cell_angle_alpha 90.00
_cell_angle_beta 90.00
_cell_angle_gamma 120.00
_space_group_name_H-M_alt 'R 3 m'
_space_group_IT_number 160
_space_group_name_Hall 'R 3 -2"'
loop_
_atom_site_label
_atom_site_fract_x
_atom_site_fract_y
_atom_site_fract_z
Ta1 0.0000 0.0000 0.0000
As1 0.0000 0.0000 0.7509
W1 0.0000 0.0000 0.2472
W2 0.0000 0.0000 0.4982
```

Results
Total DFT energy (no corrections): -56.199 eV/atom



2.
TaAsW2 | SCAN | PBEsol geometry

Cell and atoms, written as CIF:
```
data_TaAsW2
_cell_length_a 6.336
_cell_length_b 6.336
_cell_length_c 6.336
_cell_angle_alpha 90.00
_cell_angle_beta 90.00
_cell_angle_gamma 90.00
_space_group_name_H-M_alt 'F -4 3 m'
_space_group_IT_number 216
_space_group_name_Hall 'F -4 2 3'
loop_
_atom_site_label
_atom_site_fract_x
_atom_site_fract_y
_atom_site_fract_z
Ta1 0.000 0.000 0.000
As1 0.250 0.250 0.750
W1 0.000 0.000 0.500
W2 0.250 0.250 0.250
```

Results
Total DFT energy (no corrections): -56.182 eV/atom



3.
TaAsW2 | SCAN | PBEsol geometry

Cell and atoms, written as CIF:
```
data_TaAsW2
_cell_length_a 2.996
_cell_length_b 4.127
_cell_length_c 5.200
_cell_angle_alpha 90.00
_cell_angle_beta 90.00
_cell_angle_gamma 90.00
_space_group_name_H-M_alt 'P m m 2'
_space_group_IT_number 25
loop_
_space_group_symop_operation_xyz
'x,y,z'
'-x,-y,z'
'-x,y,z'
'x,-y,z'
loop_
_atom_site_label
_atom_site_fract_x
_atom_site_fract_y
_atom_site_fract_z
Ta1 0.000 0.000 0.000
As1 0.500 0.500 0.755
W1 0.000 0.000 0.495
W2 0.500 0.500 0.262
```

Results
Total DFT energy (no corrections): -56.293 eV/atom



4.
Ta2AsW | SCAN | PBEsol geometry

Cell and atoms, written as CIF:
```
data_Ta2AsW
_cell_length_a 2.853
_cell_length_b 4.604
_cell_length_c 5.224
_cell_angle_alpha 90.00
_cell_angle_beta 102.98
_cell_angle_gamma 90.00
_space_group_name_H-M_alt 'P 1 m 1'
_space_group_IT_number 6
loop_
_space_group_symop_operation_xyz
'x,y,z'
'x,-y,z'
loop_
_atom_site_label
_atom_site_fract_x
_atom_site_fract_y
_atom_site_fract_z
Ta1 0.000 0.000 0.000
Ta2 0.235 0.500 0.724
As1 0.768 0.000 0.479
W1 0.722 0.500 0.216
```

Results
Total DFT energy (no corrections): -55.719 eV/atom



5.
TaAsW3 | SCAN | PBEsol geometry

Cell and atoms, written as CIF:
```
data_TaAsW3
_cell_length_a 4.520
_cell_length_b 4.520
_cell_length_c 4.520
_cell_angle_alpha 90.00
_cell_angle_beta 90.00
_cell_angle_gamma 90.00
_space_group_name_H-M_alt 'P m -3 m'
_space_group_IT_number 221
_space_group_name_Hall '-P 4 2 3'
loop_
_atom_site_label
_atom_site_fract_x
_atom_site_fract_y
_atom_site_fract_z
Ta1 0.000 0.000 0.000
As1 0.500 0.500 0.500
W1 0.000 0.500 0.500
```

Results
Total DFT energy (no corrections): -57.652 eV/atom



6.
TaAsW | SCAN | PBEsol geometry

Cell and atoms, written as CIF:
```
data_TaAsW
_cell_length_a 6.096
_cell_length_b 6.096
_cell_length_c 6.096
_cell_angle_alpha 90.00
_cell_angle_beta 90.00
_cell_angle_gamma 90.00
_space_group_name_H-M_alt 'F -4 3 m'
_space_group_IT_number 216
_space_group_name_Hall 'F -4 2 3'
loop_
_atom_site_label
_atom_site_fract_x
_atom_site_fract_y
_atom_site_fract_z
Ta1 0.000 0.000 0.000
As1 0.000 0.000 0.500
W1 0.250 0.250 0.750
```

Results
Energy above the lowest structure with this stoichiometry: 0.242 eV/atom



7.
TaAsW2 | SCAN | PBEsol geometry

Cell and atoms, written as CIF:
```
data_TaAsW2
_cell_length_a 3.288
_cell_length_b 4.694
_cell_length_c 8.343
_cell_angle_alpha 90.00
_cell_angle_beta 90.00
_cell_angle_gamma 90.00
_space_group_name_H-M_alt 'C m m m'
_space_group_IT_number 65
_space_group_name_Hall '-C 2 2'
loop_
_atom_site_label
_atom_site_fract_x
_atom_site_fract_y
_atom_site_fract_z
Ta1 0.000 0.000 0.000
As1 0.000 0.000 0.500
W1 0.000 0.500 0.261
```

Results
Total DFT energy (no corrections): -56.296 eV/atom



8.
YTaAs | SCAN | PBEsol geometry

Cell and atoms, written as CIF:
```
data_YTaAs
_cell_length_a 3.413
_cell_length_b 3.413
_cell_length_c 10.526
_cell_angle_alpha 90.00
_cell_angle_beta 90.00
_cell_angle_gamma 90.00
_space_group_name_H-M_alt 'I 4 m m'
_space_group_IT_number 107
_space_group_name_Hall 'I 4 -2'
loop_
_atom_site_label
_atom_site_fract_x
_atom_site_fract_y
_atom_site_fract_z
Y1 0.000 0.000 0.000
Ta1 0.000 0.000 0.302
As1 0.000 0.000 0.699
```

Results
Total DFT energy (no corrections): -38.657 eV/atom



Per-record magnetization, μB per formula unit: 0.00; 0.00; 0.00; 0.00; 0.00; 0.00; 0.00; 0.00